[1]
Computed, not measured: a relaxed structure of LaMg2Ge2 at the GGA-PBEsol level of DFT.

CIF file:
```
data_LaMg2Ge2
_chemical_formula_sum 'La2 Mg4 Ge4'
_space_group_name_H-M_alt 'P 1'
_space_group_IT_number 1
_cell_length_a 4.314
_cell_length_b 4.314
_cell_length_c 11.778
_cell_angle_alpha 90.00
_cell_angle_beta 90.00
_cell_angle_gamma 90.00
loop_
_space_group_symop_operation_xyz
'x,y,z'
loop_
_atom_site_label
_atom_site_type_symbol
_atom_site_fract_x
_atom_site_fract_y
_atom_site_fract_z
La1 La 0.000 0.000 0.000
La2 La 0.500 0.500 0.500
Mg1 Mg 0.000 0.500 0.250
Mg2 Mg 0.000 0.500 0.750
Mg3 Mg 0.500 0.000 0.250
Mg4 Mg 0.500 0.000 0.750
Ge1 Ge 0.000 0.000 0.393
Ge2 Ge 0.000 0.000 0.607
Ge3 Ge 0.500 0.500 0.107
Ge4 Ge 0.500 0.500 0.893
```

Properties
Electronic total energy ... -43.13 eV/cell
Crystal system ... tetragonal
Volume ... 21.9 A^3/atom

[2]
Computed, not measured: a relaxed structure of LaMn2Ge2 at the GGA-PBEsol level of DFT.

CIF file:
```
data_LaMn2Ge2
_chemical_formula_sum 'La2 Mn4 Ge4'
_space_group_name_H-M_alt 'P 1'
_space_group_IT_number 1
_cell_length_a 3.995
_cell_length_b 3.995
_cell_length_c 10.888
_cell_angle_alpha 90.00
_cell_angle_beta 90.00
_cell_angle_gamma 90.00
loop_
_space_group_symop_operation_xyz
'x,y,z'
loop_
_atom_site_label
_atom_site_type_symbol
_atom_site_fract_x
_atom_site_fract_y
_atom_site_fract_z
La1 La 0.000 0.000 0.000
La2 La 0.500 0.500 0.500
Mn1 Mn 0.000 0.500 0.250
Mn2 Mn 0.000 0.500 0.750
Mn3 Mn 0.500 0.000 0.250
Mn4 Mn 0.500 0.000 0.750
Ge1 Ge 0.000 0.000 0.373
Ge2 Ge 0.000 0.000 0.627
Ge3 Ge 0.500 0.500 0.127
Ge4 Ge 0.500 0.500 0.873
```

Properties
Electronic total energy ... -73.93 eV/cell
Crystal system ... tetragonal
Volume ... 17.4 A^3/atom

[3]
Computed, not measured: a relaxed structure of LaGe3Mo at the GGA-PBEsol level of DFT.

CIF file:
```
data_LaGe3Mo
_chemical_formula_sum 'La1 Ge3 Mo1'
_space_group_name_H-M_alt 'P 1'
_space_group_IT_number 1
_cell_length_a 5.390
_cell_length_b 5.390
_cell_length_c 5.390
_cell_angle_alpha 90.00
_cell_angle_beta 90.00
_cell_angle_gamma 90.00
loop_
_space_group_symop_operation_xyz
'x,y,z'
loop_
_atom_site_label
_atom_site_type_symbol
_atom_site_fract_x
_atom_site_fract_y
_atom_site_fract_z
La1 La 0.000 0.000 0.000
Ge1 Ge 0.000 0.000 0.500
Ge2 Ge 0.000 0.500 0.000
Ge3 Ge 0.500 0.000 0.000
Mo1 Mo 0.500 0.500 0.500
```

Properties
Electronic total energy ... -23.22 eV/cell
Crystal system ... cubic
Volume ... 31.3 A^3/atom

[4]
Computed, not measured: a relaxed structure of NaLaGeN2 at the GGA-PBEsol level of DFT.

CIF file:
```
data_NaLaGeN2
_chemical_formula_sum 'Na1 La1 Ge1 N2'
_space_group_name_H-M_alt 'P 1'
_space_group_IT_number 1
_cell_length_a 4.428
_cell_length_b 4.428
_cell_length_c 5.843
_cell_angle_alpha 90.00
_cell_angle_beta 90.00
_cell_angle_gamma 90.00
loop_
_space_group_symop_operation_xyz
'x,y,z'
loop_
_atom_site_label
_atom_site_type_symbol
_atom_site_fract_x
_atom_site_fract_y
_atom_site_fract_z
Na1 Na 0.000 0.000 0.000
La1 La 0.500 0.500 0.500
Ge1 Ge 0.500 0.500 0.000
N1 N 0.000 0.500 0.500
N2 N 0.500 0.000 0.500
```

Properties
Electronic total energy ... -24.35 eV/cell
Crystal system ... tetragonal
Volume ... 22.9 A^3/atom
E_form (uncorrected) ... 0.877 eV per atom